First-principles (GGA-PBE) data for crystalline Pa2NiS6 at its relaxed geometry, as listed in Alexandria.

ρ (Mg/m³): 6.77
Formation energy from raw total energies (meV/atom): -1263
Total energy (eV for the cell shown): -121.8
Energy relative to the lowest polymorph listed for this composition (kcal/mol of atoms): 0.00

Lattice parameters (Å, degrees): 5.704 7.191 10.154 90.00 122.88 90.00
Fractional positions:
Pa: 0.170 0.129 0.243
Pa: 0.170 0.371 0.743
Pa: 0.830 0.629 0.257
Pa: 0.830 0.871 0.757
Ni: 0.000 0.000 0.500
Ni: 0.000 0.500 0.000
S: 0.105 0.168 0.945
S: 0.105 0.332 0.445
S: 0.288 0.660 0.951
S: 0.288 0.840 0.451
S: 0.362 0.018 0.748
S: 0.362 0.482 0.248
S: 0.638 0.518 0.752
S: 0.638 0.982 0.252
S: 0.712 0.160 0.549
S: 0.712 0.340 0.049
S: 0.895 0.668 0.555
S: 0.895 0.832 0.055

First-principles (GGA-PBE) data for crystalline PaNiS2 at its relaxed geometry, as listed in Alexandria.

ρ (Mg/m³): 8.76
Formation energy from raw total energies (meV/atom): -901
Total energy (eV for the cell shown): -27.1
Energy relative to the lowest polymorph listed for this composition (kcal/mol of atoms): 5.20

Lattice parameters (Å, degrees): 4.876 4.876 4.876 52.28 52.28 52.28
Fractional positions:
Pa: 0.000 0.000 0.000
Ni: 0.500 0.500 0.500
S: 0.236 0.236 0.236
S: 0.764 0.764 0.764

First-principles (GGA-PBE) data for crystalline PaNiS4 at its relaxed geometry, as listed in Alexandria.

ρ (Mg/m³): 5.87
Formation energy from raw total energies (meV/atom): -841
Total energy (eV for the cell shown): -73.7

Lattice parameters (Å, degrees): 6.279 6.254 6.137 90.00 101.09 90.00
Fractional positions:
Pa: 0.000 0.000 0.000
Pa: 0.000 0.500 0.500
Ni: 0.500 0.000 0.500
Ni: 0.500 0.500 0.000
S: 0.199 0.168 0.387
S: 0.199 0.332 0.887
S: 0.316 0.726 0.274
S: 0.316 0.774 0.774
S: 0.684 0.226 0.226
S: 0.684 0.274 0.726
S: 0.801 0.668 0.113
S: 0.801 0.832 0.613

First-principles (GGA-PBE) data for crystalline PaNiS6 at its relaxed geometry, as listed in Alexandria.

ρ (Mg/m³): 5.27
Formation energy from raw total energies (meV/atom): -647
Total energy (eV for the cell shown): -45.2

Lattice parameters (Å, degrees): 4.605 5.603 6.042 98.88 91.84 99.02
Fractional positions:
Pa: 0.000 0.000 0.000
Ni: 0.500 0.500 0.500
S: 0.133 0.273 0.659
S: 0.176 0.527 0.220
S: 0.470 0.852 0.768
S: 0.530 0.148 0.232
S: 0.824 0.473 0.780
S: 0.867 0.727 0.341

First-principles (GGA-PBE) data for crystalline Pa2NiS4 at its relaxed geometry, as listed in Alexandria.

ρ (Mg/m³): 8.12
Formation energy from raw total energies (meV/atom): -1396
Total energy (eV for the cell shown): -102.1

Lattice parameters (Å, degrees): 6.274 5.986 7.396 90.00 107.11 90.00
Fractional positions:
Pa: 0.231 0.250 0.056
Pa: 0.237 0.250 0.561
Pa: 0.763 0.750 0.439
Pa: 0.769 0.750 0.944
Ni: 0.237 0.750 0.810
Ni: 0.763 0.250 0.190
S: 0.019 0.511 0.256
S: 0.019 0.989 0.256
S: 0.431 0.750 0.110
S: 0.433 0.750 0.608
S: 0.567 0.250 0.392
S: 0.569 0.250 0.890
S: 0.981 0.011 0.744
S: 0.981 0.489 0.744

First-principles (GGA-PBE) data for crystalline Pa2Ni3S8 at its relaxed geometry, as listed in Alexandria.

ρ (Mg/m³): 5.77
Formation energy from raw total energies (meV/atom): -818
Total energy (eV for the cell shown): -80.0

Lattice parameters (Å, degrees): 7.148 7.148 6.346 104.24 104.24 55.80
Fractional positions:
Pa: 0.240 0.240 0.296
Pa: 0.760 0.760 0.704
Ni: 0.000 0.000 0.500
Ni: 0.253 0.747 0.000
Ni: 0.747 0.253 0.000
S: 0.088 0.088 0.894
S: 0.133 0.632 0.554
S: 0.368 0.867 0.446
S: 0.391 0.391 0.068
S: 0.609 0.609 0.932
S: 0.632 0.133 0.554
S: 0.867 0.368 0.446
S: 0.912 0.912 0.106

First-principles (GGA-PBE) data for crystalline Pa2NiS at its relaxed geometry, as listed in Alexandria.

ρ (Mg/m³): 10.91
Formation energy from raw total energies (meV/atom): -212
Total energy (eV for the cell shown): -29.7

Lattice parameters (Å, degrees): 9.183 9.183 9.183 20.63 20.63 20.63
Fractional positions:
Pa: 0.093 0.093 0.093
Pa: 0.907 0.907 0.907
Ni: 0.000 0.000 0.000
S: 0.500 0.500 0.500

First-principles (GGA-PBE) data for crystalline Pa2Ni4S5 at its relaxed geometry, as listed in Alexandria.

ρ (Mg/m³): 7.68
Formation energy from raw total energies (meV/atom): -868
Total energy (eV for the cell shown): -72.3

Lattice parameters (Å, degrees): 15.650 15.650 15.650 13.64 13.64 13.64
Fractional positions:
Pa: 0.130 0.130 0.130
Pa: 0.870 0.870 0.870
Ni: 0.317 0.317 0.317
Ni: 0.415 0.415 0.415
Ni: 0.585 0.585 0.585
Ni: 0.683 0.683 0.683
S: 0.241 0.241 0.241
S: 0.366 0.366 0.366
S: 0.500 0.500 0.500
S: 0.634 0.634 0.634
S: 0.759 0.759 0.759

First-principles (GGA-PBE) data for crystalline Pa6NiS12 at its relaxed geometry, as listed in Alexandria.

ρ (Mg/m³): 6.93
Formation energy from raw total energies (meV/atom): -1440
Total energy (eV for the cell shown): -139.6

Lattice parameters (Å, degrees): 7.740 7.740 7.740 100.22 100.22 100.22
Fractional positions:
Pa: 0.128 0.289 0.623
Pa: 0.289 0.623 0.128
Pa: 0.377 0.872 0.711
Pa: 0.623 0.128 0.289
Pa: 0.711 0.377 0.872
Pa: 0.872 0.711 0.377
Ni: 0.000 0.000 0.000
S: 0.042 0.936 0.693
S: 0.064 0.307 0.958
S: 0.178 0.572 0.432
S: 0.307 0.958 0.064
S: 0.428 0.568 0.822
S: 0.432 0.178 0.572
S: 0.568 0.822 0.428
S: 0.572 0.432 0.178
S: 0.693 0.042 0.936
S: 0.822 0.428 0.568
S: 0.936 0.693 0.042
S: 0.958 0.064 0.307

First-principles (GGA-PBE) data for crystalline PaNiS3 at its relaxed geometry, as listed in Alexandria.

ρ (Mg/m³): 6.91
Formation energy from raw total energies (meV/atom): -1056
Total energy (eV for the cell shown): -65.9
Energy relative to the lowest polymorph listed for this composition (kcal/mol of atoms): 2.25

Lattice parameters (Å, degrees): 5.126 3.969 9.111 90.00 90.02 90.00
Fractional positions:
Pa: 0.250 0.000 0.184
Pa: 0.750 0.000 0.816
Ni: 0.251 0.500 0.633
Ni: 0.749 0.500 0.367
S: 0.000 0.500 0.000
S: 0.250 0.000 0.732
S: 0.250 0.500 0.384
S: 0.500 0.500 0.000
S: 0.750 0.000 0.268
S: 0.750 0.500 0.616

First-principles (GGA-PBE) data for crystalline PaNiS3 at its relaxed geometry, as listed in Alexandria.

ρ (Mg/m³): 6.53
Formation energy from raw total energies (meV/atom): -1154
Total energy (eV for the cell shown): -66.9
Energy relative to the lowest polymorph listed for this composition (kcal/mol of atoms): 0.00

Lattice parameters (Å, degrees): 6.282 6.282 8.689 90.00 90.00 145.11
Fractional positions:
Pa: 0.236 0.764 0.750
Pa: 0.764 0.236 0.250
Ni: 0.024 0.976 0.250
Ni: 0.976 0.024 0.750
S: 0.158 0.842 0.074
S: 0.158 0.842 0.426
S: 0.429 0.571 0.250
S: 0.571 0.429 0.750
S: 0.842 0.158 0.574
S: 0.842 0.158 0.926

First-principles (GGA-PBE) data for crystalline Pa6NiS5 at its relaxed geometry, as listed in Alexandria.

ρ (Mg/m³): 10.48
Formation energy from raw total energies (meV/atom): -1332
Total energy (eV for the cell shown): -99.4

Lattice parameters (Å, degrees): 6.767 6.767 6.789 99.48 99.48 119.95
Fractional positions:
Pa: 0.080 0.409 0.744
Pa: 0.244 0.244 0.255
Pa: 0.409 0.080 0.744
Pa: 0.591 0.920 0.256
Pa: 0.756 0.756 0.745
Pa: 0.920 0.591 0.256
Ni: 0.000 0.000 0.500
S: 0.168 0.832 0.000
S: 0.334 0.666 0.500
S: 0.500 0.500 0.000
S: 0.666 0.334 0.500
S: 0.832 0.168 0.000

First-principles (GGA-PBE) data for crystalline Pa2Ni2S7 at its relaxed geometry, as listed in Alexandria.

ρ (Mg/m³): 5.09
Formation energy from raw total energies (meV/atom): -915
Total energy (eV for the cell shown): -69.5

Lattice parameters (Å, degrees): 6.928 6.928 6.120 91.25 91.25 116.79
Fractional positions:
Pa: 0.173 0.827 0.000
Pa: 0.827 0.173 0.000
Ni: 0.235 0.235 0.640
Ni: 0.765 0.765 0.360
S: 0.088 0.088 0.269
S: 0.127 0.479 0.777
S: 0.479 0.127 0.777
S: 0.500 0.500 0.500
S: 0.521 0.873 0.223
S: 0.873 0.521 0.223
S: 0.912 0.912 0.731

First-principles (GGA-PBE) data for crystalline PaNi6S8 at its relaxed geometry, as listed in Alexandria.

ρ (Mg/m³): 6.03
Formation energy from raw total energies (meV/atom): -510
Total energy (eV for the cell shown): -84.9

Lattice parameters (Å, degrees): 6.137 6.137 6.137 89.45 89.45 89.45
Fractional positions:
Pa: 0.000 0.000 0.000
Ni: 0.192 0.569 0.412
Ni: 0.412 0.192 0.569
Ni: 0.431 0.588 0.808
Ni: 0.569 0.412 0.192
Ni: 0.588 0.808 0.431
Ni: 0.808 0.431 0.588
S: 0.140 0.368 0.746
S: 0.246 0.246 0.246
S: 0.254 0.860 0.632
S: 0.368 0.746 0.140
S: 0.632 0.254 0.860
S: 0.746 0.140 0.368
S: 0.754 0.754 0.754
S: 0.860 0.632 0.254

First-principles (GGA-PBE) data for crystalline PaNi2S3 at its relaxed geometry, as listed in Alexandria.

ρ (Mg/m³): 7.49
Formation energy from raw total energies (meV/atom): -736
Total energy (eV for the cell shown): -75.7
Energy relative to the lowest polymorph listed for this composition (kcal/mol of atoms): 3.13

Lattice parameters (Å, degrees): 6.425 6.425 4.790 90.00 90.00 85.83
Fractional positions:
Pa: 0.173 0.827 0.750
Pa: 0.827 0.173 0.250
Ni: 0.333 0.333 0.000
Ni: 0.333 0.333 0.500
Ni: 0.667 0.667 0.000
Ni: 0.667 0.667 0.500
S: 0.053 0.263 0.750
S: 0.263 0.053 0.250
S: 0.377 0.623 0.250
S: 0.623 0.377 0.750
S: 0.737 0.947 0.750
S: 0.947 0.737 0.250

First-principles (GGA-PBE) data for crystalline Pa2NiS6 at its relaxed geometry, as listed in Alexandria.

ρ (Mg/m³): 5.52
Formation energy from raw total energies (meV/atom): -1106
Total energy (eV for the cell shown): -119.0
Energy relative to the lowest polymorph listed for this composition (kcal/mol of atoms): 3.61

Lattice parameters (Å, degrees): 6.214 6.214 11.104 90.00 90.00 90.00
Fractional positions:
Pa: 0.000 0.000 0.176
Pa: 0.000 0.000 0.824
Pa: 0.500 0.500 0.324
Pa: 0.500 0.500 0.676
Ni: 0.000 0.000 0.500
Ni: 0.500 0.500 0.000
S: 0.190 0.190 0.357
S: 0.190 0.190 0.643
S: 0.193 0.193 0.000
S: 0.307 0.693 0.500
S: 0.310 0.690 0.143
S: 0.310 0.690 0.857
S: 0.690 0.310 0.143
S: 0.690 0.310 0.857
S: 0.693 0.307 0.500
S: 0.807 0.807 0.000
S: 0.810 0.810 0.357
S: 0.810 0.810 0.643

First-principles (GGA-PBE) data for crystalline Pa3NiS6 at its relaxed geometry, as listed in Alexandria.

ρ (Mg/m³): 7.28
Formation energy from raw total energies (meV/atom): -1462
Total energy (eV for the cell shown): -147.3

Lattice parameters (Å, degrees): 8.372 8.372 6.254 90.00 90.00 100.45
Fractional positions:
Pa: 0.110 0.890 0.500
Pa: 0.230 0.434 0.594
Pa: 0.434 0.230 0.094
Pa: 0.566 0.770 0.594
Pa: 0.770 0.566 0.094
Pa: 0.890 0.110 0.000
Ni: 0.305 0.695 0.186
Ni: 0.695 0.305 0.686
S: 0.060 0.594 0.315
S: 0.131 0.197 0.298
S: 0.197 0.131 0.798
S: 0.273 0.727 0.804
S: 0.406 0.940 0.315
S: 0.469 0.531 0.295
S: 0.531 0.469 0.795
S: 0.594 0.060 0.815
S: 0.727 0.273 0.304
S: 0.803 0.869 0.298
S: 0.869 0.803 0.798
S: 0.940 0.406 0.815

First-principles (GGA-PBE) data for crystalline PaNiS2 at its relaxed geometry, as listed in Alexandria.

ρ (Mg/m³): 6.62
Formation energy from raw total energies (meV/atom): -1084
Total energy (eV for the cell shown): -27.9
Energy relative to the lowest polymorph listed for this composition (kcal/mol of atoms): 0.98

Lattice parameters (Å, degrees): 3.899 3.899 7.112 105.98 105.98 60.00
Fractional positions:
Pa: 0.000 0.000 0.000
Ni: 0.413 0.413 0.237
S: 0.590 0.590 0.770
S: 0.760 0.760 0.280

First-principles (GGA-PBE) data for crystalline PaNiS2 at its relaxed geometry, as listed in Alexandria.

ρ (Mg/m³): 7.78
Formation energy from raw total energies (meV/atom): -1126
Total energy (eV for the cell shown): -28.0
Energy relative to the lowest polymorph listed for this composition (kcal/mol of atoms): 0.00

Lattice parameters (Å, degrees): 5.340 5.340 4.046 91.23 91.23 40.88
Fractional positions:
Pa: 0.000 0.000 0.000
Ni: 0.273 0.273 0.757
S: 0.462 0.462 0.503
S: 0.720 0.720 0.990

First-principles (GGA-PBE) data for crystalline Pa6Ni3S14 at its relaxed geometry, as listed in Alexandria.

ρ (Mg/m³): 7.55
Formation energy from raw total energies (meV/atom): -1432
Total energy (eV for the cell shown): -165.0

Lattice parameters (Å, degrees): 9.589 9.589 5.557 90.00 90.00 120.00
Fractional positions:
Pa: 0.041 0.485 0.000
Pa: 0.291 0.181 0.501
Pa: 0.444 0.959 0.000
Pa: 0.515 0.556 0.000
Pa: 0.819 0.110 0.501
Pa: 0.890 0.709 0.501
Ni: 0.000 0.000 0.139
Ni: 0.333 0.667 0.638
Ni: 0.667 0.333 0.463
S: 0.000 0.000 0.737
S: 0.101 0.252 0.245
S: 0.151 0.899 0.245
S: 0.183 0.768 0.746
S: 0.232 0.415 0.746
S: 0.333 0.667 0.236
S: 0.413 0.229 0.987
S: 0.517 0.077 0.490
S: 0.560 0.483 0.490
S: 0.585 0.817 0.746
S: 0.748 0.849 0.245
S: 0.771 0.185 0.987
S: 0.815 0.587 0.987
S: 0.923 0.440 0.490

First-principles (GGA-PBE) data for crystalline PaNiSbS at its relaxed geometry, as listed in Alexandria.

ρ (Mg/m³): 9.20
Formation energy from raw total energies (meV/atom): -770
Total energy (eV for the cell shown): -26.6

Lattice parameters (Å, degrees): 4.546 4.546 4.475 90.00 90.00 120.00
Fractional positions:
Pa: 0.000 0.000 0.000
Ni: 0.667 0.333 0.500
Sb: 0.333 0.667 0.500
S: 0.667 0.333 0.000